Entry from Alexandria via LeMat-Bulk: a relaxed structure of La6CoIr3 (PBE).

Structure (POSCAR):
```
La6CoIr3
1.0
7.0850 0.0000 0.0000
0.0000 7.5825 0.0000
-6.6446 0.0000 10.5064
La Co Ir
12 2 6
Direct
0.0829 0.0678 0.2496
0.0829 0.4322 0.7496
0.2700 0.6762 0.0839
0.2700 0.8238 0.5839
0.3961 0.1809 0.0662
0.3961 0.3191 0.5662
0.6039 0.6809 0.4338
0.6039 0.8191 0.9338
0.7300 0.1762 0.4161
0.7300 0.3238 0.9161
0.9171 0.5678 0.2504
0.9171 0.9322 0.7504
0.5000 0.0000 0.5000
0.5000 0.5000 0.0000
0.0000 0.0000 0.0000
0.0000 0.5000 0.5000
0.3069 0.1024 0.7735
0.3069 0.3976 0.2735
0.6931 0.6024 0.7265
0.6931 0.8976 0.2265
```

Energy relative to the elements, eV/f.u.: -5.13
M_tot, μB per formula unit: 0.00